La2BiAs3Pd4: relaxed, PBE.

It has space group P-4m2 (No. 115), with a = 4.385 Å, b = 4.385 Å, c = 11.075 Å, α = 90.00°, β = 90.00° and γ = 90.00°. The inequivalent atoms are La at (0.000, 0.500, 0.223), Bi at (0.000, 0.000, 0.500), As at (0.000, 0.500, 0.874), As at (0.500, 0.500, 0.500), Pd at (0.000, 0.000, 0.000), Pd at (0.000, 0.500, 0.652) and Pd at (0.500, 0.500, 0.000).

As for the calculated formation energy: -849.7 meV per atom. The total energy is -5.6953 eV/atom. As for the density of states at the Fermi level: 5.425 states/eV/f.u.

---

CrCoHg2: relaxed, PBE.

It has space group R-3m (No. 166, hexagonal axes), with a = 3.0725 Å, b = 3.0725 Å, c = 26.3985 Å, α = 90.00°, β = 90.00° and γ = 120.00°. The inequivalent atoms are Cr at (0.0000, 0.0000, 0.0000), Co at (0.0000, 0.0000, 0.5000) and Hg at (0.0000, 0.0000, 0.2472).

As for the energy above the most stable polymorph in this dataset: 249 meV/atom. As for the calculated formation energy: 615.8 meV per atom. The total energy is -3.7174 eV/atom. As for the density of states at the Fermi level: 4.225 states/eV/f.u.

---

LaReAs: relaxed, PBE.

It has space group F-43m (No. 216), with a = 6.494 Å, b = 6.494 Å, c = 6.494 Å, α = 90.00°, β = 90.00° and γ = 90.00°. The inequivalent atoms are La at (0.000, 0.000, 0.000), Re at (0.250, 0.250, 0.250) and As at (0.000, 0.000, 0.500).

As for the energy above the most stable polymorph in this dataset: 473 meV/atom. As for the calculated formation energy: 228.9 meV per atom. The total energy is -7.1128 eV/atom. As for the density of states at the Fermi level: 3.054 states/eV/f.u.

---

LiBiPb2: relaxed, PBE.

It has space group Cm (No. 8), with a = 8.701 Å, b = 5.190 Å, c = 6.067 Å, α = 90.00°, β = 118.56° and γ = 90.00°. The inequivalent atoms are Li at (0.000, 0.000, 0.000), Bi at (0.130, 0.500, 0.902), Pb at (0.191, 0.000, 0.593) and Pb at (0.422, 0.000, 0.266).

As for the calculated formation energy: -88.1 meV per atom. The total energy is -3.3910 eV/atom. As for the density of states at the Fermi level: 1.733 states/eV/f.u.

---

ZnTe3: relaxed, PBE.

It has space group Immm (No. 71), with a = 3.954 Å, b = 4.009 Å, c = 17.864 Å, α = 90.00°, β = 90.00° and γ = 90.00°. The inequivalent atoms are Zn at (0.000, 0.000, 0.000), Te at (0.000, 0.000, 0.500) and Te at (0.000, 0.500, 0.278).

The total energy is -2.5964 eV/atom. As for the raw formation energy: 0.078 eV per atom. As for the density of states at the Fermi level: 1.847 states/eV/f.u.

---

K3Pr3AlO8: relaxed, PBE.

It has space group R-3m (No. 166, hexagonal axes), with a = 7.0342 Å, b = 7.0342 Å, c = 18.9645 Å, α = 90.00°, β = 90.00° and γ = 120.00°. The inequivalent atoms are K at (0.0000, 0.5000, 0.0000), Pr at (0.0000, 0.5000, 0.5000), Al at (0.0000, 0.0000, 0.5000), O at (0.0000, 0.0000, 0.2314) and O at (0.0486, 0.5243, 0.2232).

The total energy is -6.4715 eV/atom. As for the raw formation energy: -2.402 eV per atom. As for the density of states at the Fermi level: 11.061 states/eV/f.u.

---

AlZn5Au3: relaxed, PBE.

It has space group C2/m (No. 12), with a = 9.185 Å, b = 7.878 Å, c = 9.889 Å, α = 90.00°, β = 95.82° and γ = 90.00°. The inequivalent atoms are Al at (0.010, 0.000, 0.249), Zn at (0.000, 0.327, 0.000), Zn at (0.034, 0.500, 0.334), Zn at (0.216, 0.179, 0.633), Zn at (0.225, 0.500, 0.871), Au at (0.000, 0.000, 0.000), Au at (0.000, 0.000, 0.500), Au at (0.217, 0.500, 0.137) and Au at (0.225, 0.500, 0.605).

As for the calculated formation energy: -40.4 meV per atom. The total energy is -2.2565 eV/atom. As for the density of states at the Fermi level: 3.196 states/eV/f.u.

---

Li5Tc2N6: relaxed, PBE.

It has space group C2/c (No. 15), with a = 10.034 Å, b = 5.895 Å, c = 11.805 Å, α = 90.00°, β = 91.96° and γ = 90.00°. The inequivalent atoms are Li at (0.000, 0.197, 0.250), Li at (0.094, 0.440, 0.664), Li at (0.107, 0.148, 0.847), Tc at (0.249, 0.383, 0.407), N at (0.103, 0.060, 0.665), N at (0.104, 0.493, 0.337) and N at (0.240, 0.058, 0.430).

The total energy is -6.4967 eV/atom. As for the raw formation energy: -0.323 eV per atom. As for the density of states at the Fermi level: 2.992 states/eV/f.u.

---

PaCoHg: relaxed, PBE.

It has space group Cmcm (No. 63), with a = 3.541 Å, b = 17.275 Å, c = 3.922 Å, α = 90.00°, β = 90.00° and γ = 90.00°. The inequivalent atoms are Pa at (0.000, 0.086, 0.250), Co at (0.000, 0.448, 0.250) and Hg at (0.000, 0.293, 0.250).

As for the energy above the most stable polymorph in this dataset: 0 meV/atom. As for the calculated formation energy: -288.8 meV per atom. The total energy is -5.9233 eV/atom. As for the density of states at the Fermi level: 2.350 states/eV/f.u.

---

GdY2Sn: relaxed, PBE.

It has space group P4/mmm (No. 123), with a = 4.119 Å, b = 4.119 Å, c = 6.906 Å, α = 90.00°, β = 90.00° and γ = 90.00°. The inequivalent atoms are Gd at (0.000, 0.000, 0.000), Y at (0.500, 0.500, 0.273) and Sn at (0.000, 0.000, 0.500).

As for the energy above the most stable polymorph in this dataset: 107 meV/atom. As for the calculated formation energy: -326.5 meV per atom. The total energy is -8.0794 eV/atom. As for the density of states at the Fermi level: 5.737 states/eV/f.u.

---

CrCl5: relaxed, PBE.

It has space group P-62m (No. 189), with a = 8.1985 Å, b = 8.1985 Å, c = 2.9444 Å, α = 90.00°, β = 90.00° and γ = 120.00°. The inequivalent atoms are Cr at (0.0000, 0.0000, 0.0000), Cl at (0.0000, 0.7826, 0.5000) and Cl at (0.3333, 0.6667, 0.0000).

As for the energy above the most stable polymorph in this dataset: 205 meV/atom. The total energy is -3.4845 eV/atom. As for the raw formation energy: -0.342 eV per atom. As for the density of states at the Fermi level: 7.916 states/eV/f.u.

---

Dy2Th2Se7: relaxed, PBE.

It has space group Imm2 (No. 44), with a = 4.195 Å, b = 14.674 Å, c = 9.126 Å, α = 90.00°, β = 90.00° and γ = 90.00°. The inequivalent atoms are Dy at (0.000, 0.000, 0.000), Dy at (0.000, 0.500, 0.039), Th at (0.000, 0.237, 0.245), Se at (0.000, 0.000, 0.317), Se at (0.000, 0.110, 0.725), Se at (0.000, 0.317, 0.944) and Se at (0.000, 0.362, 0.544).

The total energy is -6.1831 eV/atom. As for the raw formation energy: -1.780 eV per atom. As for the density of states at the Fermi level: 0.145 states/eV/f.u.